## Sm3InS6 (GGA-PBE)

Data for a relaxed structure of Sm3InS6.

The structure belongs to space group Cmc2_1 (No. 36); the cell edges are 10.9266, 13.6692 and 6.7258 Å and the angles 90.00°, 90.00° and 90.00°. The distinct sites, in fractional coordinates, are Sm at (0.0000, 0.0970, 0.0000), Sm at (0.1865, 0.4013, 0.0872), In at (0.0000, 0.3000, 0.6151), S at (0.0000, 0.2800, 0.2523), S at (0.0000, 0.4667, 0.7788), S at (0.1620, 0.0289, 0.2924) and S at (0.1713, 0.2305, 0.8141).

---

## Sm2InS (GGA-PBE)

Data for a relaxed structure of Sm2InS.

Its distance to the lowest polymorph of the same formula is 47 meV/atom.

The structure belongs to space group R3m (No. 160, hexagonal axes); the cell edges are 3.8922, 3.8922 and 24.8549 Å and the angles 90.00°, 90.00° and 120.00°. The distinct sites, in fractional coordinates, are Sm at (0.0000, 0.0000, 0.0000), Sm at (0.0000, 0.0000, 0.2003), In at (0.0000, 0.0000, 0.4332) and S at (0.0000, 0.0000, 0.6010).

---

Fermi-level density of states? In order: 0.00; 0.98 states/eV per atom.
ΔE_f (raw)? In order: -1636.8; -450.3 kJ/mol of formula units.